1.
A plane-wave DFT calculation with PBE was carried out for a relaxed structure of ErGaAgAu.

Geometry as extended XYZ:
```
4
Lattice="0.000 3.398 3.398 3.398 0.000 3.398 3.398 3.398 0.000" Properties=species:S:1:pos:R:3 pbc="T T T"
Er 0.000 0.000 0.000
Ga 3.398 3.398 3.398
Ag 5.097 5.097 5.097
Au 1.699 1.699 1.699
```

## Properties
magnetic moment	0.00	μB per atom
ΔH_f (0 K)	-0.4970	eV per atom



2.
A plane-wave DFT calculation with PBE was carried out for a relaxed structure of LiTl2Se2O6.

Geometry as extended XYZ:
```
11
Lattice="4.210 -3.307 0.000 4.210 3.307 0.000 -4.145 0.000 7.322" Properties=species:S:1:pos:R:3 pbc="T T T"
Li 0.000 0.000 0.000
Tl -1.678 0.000 5.236
Tl 5.953 0.000 2.086
Se 2.645 0.000 1.815
Se 1.630 0.000 5.507
O 0.538 1.347 5.531
O 1.890 0.000 0.266
O 3.737 1.347 1.791
O 0.538 -1.347 5.531
O 2.386 0.000 7.055
O 3.737 -1.347 1.791
```

## Properties
magnetic moment	0.00	μB per atom
formation energy without anion corrections	-20.9	kcal/mol of atoms



3.
A plane-wave DFT calculation with PBE was carried out for a relaxed structure of Ta3Ti2Nb3.

Geometry as extended XYZ:
```
8
Lattice="-1.654 2.321 9.350 1.654 -2.321 9.350 1.654 2.321 -9.350" Properties=species:S:1:pos:R:3 pbc="T T T"
Ta 0.000 0.000 0.000
Ta 1.654 0.000 6.975
Ta 0.000 2.321 2.375
Ti 0.000 0.000 4.629
Ti 0.000 0.000 14.071
Nb 1.654 0.000 2.354
Nb 0.000 0.000 9.350
Nb 0.000 2.321 6.996
```

## Properties
magnetic moment	0.00	μB per atom
ΔH_f (0 K)	0.0189	eV per atom
energy relative to the lowest polymorph listed for this composition	0	meV per atom



4.
A plane-wave DFT calculation with PBE was carried out for a relaxed structure of HoBe2CoB.

Geometry as extended XYZ:
```
5
Lattice="-1.761 1.772 4.726 1.761 -1.772 4.726 1.761 1.772 -4.726" Properties=species:S:1:pos:R:3 pbc="T T T"
Ho 0.000 0.000 0.000
Be 0.000 0.000 5.944
Be 0.000 1.772 2.514
Co 1.761 0.000 2.496
B 0.000 0.000 3.563
```

## Properties
magnetic moment	0.00	μB per atom
ΔH_f (0 K)	-0.2299	eV per atom



5.
A plane-wave DFT calculation with PBE was carried out for a relaxed structure of K2ThAs2O8.

Geometry as extended XYZ:
```
52
Lattice="7.919 0.000 0.000 0.000 11.564 0.000 -4.525 0.000 9.089" Properties=species:S:1:pos:R:3 pbc="T T T"
K 0.952 1.465 0.361
K -1.311 4.317 4.906
K 0.602 1.394 4.147
K -1.661 4.388 8.692
K 5.055 7.176 0.398
K 2.792 10.170 4.942
K 4.704 7.247 4.184
K 2.442 10.099 8.728
Th 0.752 7.356 2.539
Th -1.510 9.990 7.084
Th 4.904 1.574 2.005
Th 2.642 4.208 6.550
As -3.360 7.409 7.773
As -1.098 9.937 3.229
As 0.791 7.317 5.780
As 3.053 10.028 1.236
As 0.341 1.535 7.854
As 2.603 4.247 3.309
As 4.492 1.627 5.860
As 6.754 4.155 1.316
O -3.118 0.180 6.728
O -0.856 5.602 2.183
O -0.798 2.744 2.246
O -3.060 3.038 6.791
O 0.343 7.455 0.197
O -1.920 9.891 4.742
O -0.506 6.948 4.704
O 1.757 10.397 0.159
O -1.660 7.604 7.955
O 0.602 9.742 3.410
O 0.002 0.263 6.733
O 2.264 5.518 2.188
O -0.938 1.665 9.012
O 1.324 4.117 4.468
O 2.835 8.532 2.060
O 0.572 8.813 6.605
O 2.822 2.751 2.485
O 0.559 3.031 7.029
O 2.069 7.447 4.622
O 4.332 9.899 0.077
O 1.130 6.045 6.901
O 3.392 11.300 2.357
O 2.791 1.822 5.679
O 5.054 3.960 1.134
O 1.637 1.166 8.930
O 3.900 4.615 4.386
O 5.314 1.673 4.347
O 3.051 4.109 8.892
O 6.454 8.526 2.298
O 4.192 8.820 6.843
O 4.250 5.962 6.906
O 6.512 11.384 2.362
```

## Properties
magnetic moment	0.00	μB per atom
formation energy without anion corrections	-48.6	kcal/mol of atoms



6.
A plane-wave DFT calculation with PBE was carried out for a relaxed structure of Ba2Cd3Pd12Pt.

Geometry as extended XYZ:
```
18
Lattice="3.405 1.966 9.658 -3.405 1.966 9.658 0.000 -3.932 9.658" Properties=species:S:1:pos:R:3 pbc="T T T"
Ba 0.000 0.000 4.570
Ba 0.000 0.000 24.405
Cd -1.702 -0.983 9.658
Cd -1.702 0.983 19.317
Cd 0.000 1.966 9.658
Pd 0.000 -2.398 8.132
Pd -2.077 1.199 8.132
Pd -1.388 -0.802 12.419
Pd -2.077 -1.199 20.843
Pd 0.000 -1.603 16.557
Pd -1.388 0.802 16.557
Pd 1.388 -0.802 12.419
Pd 0.000 1.603 12.419
Pd 2.077 1.199 8.132
Pd 1.388 0.802 16.557
Pd 2.077 -1.199 20.843
Pd 0.000 2.398 20.843
Pt 0.000 0.000 14.488
```

## Properties
magnetic moment	0.00	μB per atom
ΔH_f (0 K)	-0.0757	eV per atom



7.
A plane-wave DFT calculation with PBE was carried out for a relaxed structure of In4RhAu.

Geometry as extended XYZ:
```
6
Lattice="0.000 4.091 4.091 4.091 0.000 4.091 4.091 4.091 0.000" Properties=species:S:1:pos:R:3 pbc="T T T"
In 1.020 1.020 1.020
In 3.071 3.071 1.020
In 3.071 1.020 3.071
In 1.020 3.071 3.071
Rh 6.136 6.136 6.136
Au 4.091 4.091 4.091
```

## Properties
magnetic moment	0.00	μB per atom
ΔH_f (0 K)	0.4638	eV per atom
energy relative to the lowest polymorph listed for this composition	733	meV per atom



8.
A plane-wave DFT calculation with PBE was carried out for a relaxed structure of TeMo2Ru.

Geometry as extended XYZ:
```
8
Lattice="-2.963 2.963 5.654 2.963 -2.963 5.654 2.963 2.963 -5.654" Properties=species:S:1:pos:R:3 pbc="T T T"
Te 0.000 0.000 0.000
Te 0.000 2.963 2.827
Mo 1.481 -1.254 4.241
Mo 1.709 1.481 1.414
Mo 1.481 4.217 -1.414
Mo 1.254 1.481 7.068
Ru 2.963 0.000 2.827
Ru 0.000 0.000 5.654
```

## Properties
magnetic moment	0.00	μB per atom
formation energy without anion corrections	24.3	kcal/mol of atoms



Q: Number 4 is which compound?
A: HoBe2CoB